Record 1
Compound: YCoSb2I
Source: Alexandria via LeMat-Bulk
Functional: PBE
Structure: relaxed

Properties
Crystal system: tetragonal
Formation energy without anion corrections, kJ/mol of formula units: 17
Total magnetization, μB per formula unit: 0.987
Relative energy among the computed polymorphs, meV/atom: 0

Unit cell a=4.940 b=4.940 c=5.471 alpha=90.00 beta=90.00 gamma=90.00
Space group P4/mmm (No. 123)
Asymmetric unit:
Y 0.000 0.000 0.000 x1
Co 0.500 0.500 0.500 x1
Sb 0.000 0.500 0.500 x2
I 0.500 0.500 0.000 x1

=====

Record 2
Compound: YCoSb2I
Source: Alexandria via LeMat-Bulk
Functional: PBE
Structure: relaxed

Properties
Crystal system: tetragonal
Formation energy without anion corrections, kJ/mol of formula units: 369
Total magnetization, μB per formula unit: 2.632
Relative energy among the computed polymorphs, meV/atom: 730

Unit cell a=5.877 b=5.877 c=5.832 alpha=90.00 beta=90.00 gamma=90.00
Space group P4/mmm (No. 123)
Asymmetric unit:
Y 0.000 0.000 0.000 x1
Co 0.500 0.500 0.500 x1
Sb 0.000 0.500 0.000 x2
I 0.000 0.000 0.500 x1

=====

Record 3
Compound: ZnCoSbI2
Source: Alexandria via LeMat-Bulk
Functional: PBE
Structure: relaxed

Properties
Crystal system: tetragonal
Formation energy without anion corrections, kJ/mol of formula units: 189
Total magnetization, μB per formula unit: 0.000
Relative energy among the computed polymorphs, meV/atom: 0

Unit cell a=5.466 b=5.466 c=4.800 alpha=90.00 beta=90.00 gamma=90.00
Space group P4/mmm (No. 123)
Asymmetric unit:
Zn 0.000 0.000 0.000 x1
Co 0.500 0.500 0.500 x1
Sb 0.500 0.500 0.000 x1
I 0.000 0.500 0.500 x2

=====

Record 4
Compound: ZnCoSbI2
Source: Alexandria via LeMat-Bulk
Functional: PBE
Structure: relaxed

Properties
Crystal system: tetragonal
Formation energy without anion corrections, kJ/mol of formula units: 455
Total magnetization, μB per formula unit: 2.259
Relative energy among the computed polymorphs, meV/atom: 551

Unit cell a=5.543 b=5.543 c=5.316 alpha=90.00 beta=90.00 gamma=90.00
Space group P4/mmm (No. 123)
Asymmetric unit:
Zn 0.000 0.000 0.000 x1
Co 0.500 0.500 0.500 x1
Sb 0.000 0.000 0.500 x1
I 0.000 0.500 0.000 x2